Here is a geometry-optimized PuIn2CuO8 structure from Alexandria. Energies are from PBE.

Properties
Space group   P-1, No. 2
Uncorrected energy   -6.8102 eV/atom

Lattice parameters (Å, degrees): 4.9260 4.8645 6.6788 84.34 95.27 94.89
With the nearest neighbours (Å) after each atom.
Fractional coordinates of all 12 atoms:
In 0.5387 0.4612 0.2677  6 O 2.14-2.36
In 0.4613 0.5388 0.7323  6 O 2.14-2.36
O 0.8065 0.2277 0.8079  1 Pu 1.86
O 0.6791 0.7118 0.9983  1 Pu 2.02, 2 In 2.19-2.20
O 0.1477 0.8273 0.7406  1 Cu 1.85
O 0.1935 0.7723 0.1921  1 Pu 1.86
O 0.3017 0.2737 0.5049  1 Cu 1.91
O 0.6983 0.7263 0.4951  1 Cu 1.91
O 0.3209 0.2882 0.0017  1 Pu 2.02, 2 In 2.19-2.20
O 0.8523 0.1727 0.2594  1 Cu 1.85
Cu 0.0000 0.0000 0.5000  4 O 1.85-1.91
Pu 0.0000 0.0000 0.0000  4 O 1.86-2.02

=====

Here is a geometry-optimized DyY2ScP4 structure from Alexandria. Energies are from PBE.

Properties
Space group   P2/m, No. 10
E_form   -1.571 eV per atom

Lattice parameters (Å, degrees): 3.9553 6.8418 6.8424 109.48 90.00 90.00
With the nearest neighbours (Å) after each atom.
Fractional coordinates of all 8 atoms:
P 0.0000 0.7547 0.2445  1 Sc 2.74, 2 Dy 2.79, 3 Y 2.80-2.85
P 0.5000 0.2400 0.2396  2 Sc 2.74, 1 Dy 2.79, 3 Y 2.80-2.85
P 0.0000 0.2453 0.7555  1 Sc 2.74, 2 Dy 2.79, 3 Y 2.80-2.85
P 0.5000 0.7600 0.7604  2 Sc 2.74, 1 Dy 2.79, 3 Y 2.80-2.85
Y 0.5000 0.0000 0.5000  6 P 2.80
Y 0.0000 0.5000 0.5000  6 P 2.85
Dy 0.5000 0.5000 0.0000  6 P 2.79
Sc 0.0000 0.0000 0.0000  6 P 2.74

=====

Here is a geometry-optimized Cr2Ni2I structure from Alexandria. Energies are from PBE.

Properties
Space group   P4/mbm, No. 127
Energy above the lowest structure with this stoichiometry   104 meV/atom

Lattice parameters (Å, degrees): 6.4958 6.4958 3.4843 90.00 90.00 90.00
With the nearest neighbours (Å) after each atom.
Fractional coordinates of all 10 atoms:
Ni 0.6633 0.8367 0.5000  6 Cr 2.52-2.71
Ni 0.8367 0.3367 0.5000  6 Cr 2.52-2.71
Ni 0.1633 0.6633 0.5000  6 Cr 2.52-2.71
Ni 0.3367 0.1633 0.5000  6 Cr 2.52-2.71
I 0.0000 0.0000 0.0000  4 Cr 2.63
I 0.5000 0.5000 0.0000  4 Cr 2.63
Cr 0.8886 0.6114 0.0000  1 Cr 2.05
Cr 0.3886 0.8886 0.0000  1 Cr 2.05
Cr 0.1114 0.3886 0.0000  1 Cr 2.05
Cr 0.6114 0.1114 0.0000  1 Cr 2.05

=====

Here is a geometry-optimized Sb structure from Alexandria. Energies are from PBE.

Properties
Space group   P6_3/mmc, No. 194
Energy above the lowest structure with this stoichiometry   373 meV/atom

Lattice parameters (Å, degrees): 5.1695 5.1695 6.0321 90.00 90.00 120.00
With the nearest neighbours (Å) after each atom.
Fractional coordinates of all 4 atoms:
Sb 0.0000 0.0000 0.7500  5 Sb 2.98-3.02
Sb 0.3333 0.6667 0.2500  3 Sb 2.98
Sb 0.6667 0.3333 0.7500  3 Sb 2.98
Sb 0.0000 0.0000 0.2500  5 Sb 2.98-3.02

=====

Here is a geometry-optimized Ho6H3C2N structure from Alexandria. Energies are from PBE.

Properties
Space group   C2/m, No. 12
Uncorrected energy   -6.0240 eV/atom

Lattice parameters (Å, degrees): 6.1257 6.1257 6.0352 99.70 99.70 120.05
With the nearest neighbours (Å) after each atom.
Fractional coordinates of all 12 atoms:
Ho 0.5927 0.9235 0.7695  1 N 2.41, 2 C 2.43, 3 H 2.54-2.55
Ho 0.2547 0.2547 0.7711  1 N 2.41, 2 C 2.43, 3 H 2.57-2.58
Ho 0.4073 0.0765 0.2305  1 N 2.41, 2 C 2.43, 3 H 2.54-2.55
Ho 0.7453 0.7453 0.2289  1 N 2.41, 2 C 2.43, 3 H 2.57-2.58
Ho 0.0765 0.4073 0.2305  1 N 2.41, 2 C 2.43, 3 H 2.54-2.55
Ho 0.9235 0.5927 0.7695  1 N 2.41, 2 C 2.43, 3 H 2.54-2.55
C 0.3334 0.6666 0.0000  6 Ho 2.43
C 0.6666 0.3334 0.0000  6 Ho 2.43
H 0.8300 0.1700 0.5000  6 Ho 2.54-2.58
H 0.1700 0.8300 0.5000  6 Ho 2.54-2.58
H 0.5000 0.5000 0.5000  6 Ho 2.55-2.57
N 0.0000 0.0000 0.0000  6 Ho 2.41

=====

Here is a geometry-optimized Tb2Ga3Tc structure from Alexandria. Energies are from PBE.

Properties
Space group   R-3m, No. 166
Energy above the lowest structure with this stoichiometry   0 meV/atom
E_form   -0.519 eV per atom

Lattice parameters (Å, degrees): 5.5224 5.5224 5.4091 89.99 120.69 120.01
With the nearest neighbours (Å) after each atom.
Fractional coordinates of all 6 atoms:
Tc 0.0000 0.0000 0.0000  6 Ga 2.70
Ga 0.5000 0.5000 0.5000  2 Tc 2.70, 4 Ga 2.76
Ga 0.0000 0.0000 0.5000  2 Tc 2.70, 4 Ga 2.76
Ga 0.5000 0.0000 0.5000  2 Tc 2.70, 4 Ga 2.76
Tb 0.2571 0.6282 0.8854  9 Ga 3.12-3.24, 3 Tc 3.23, 4 Tb 3.34-3.37
Tb 0.7429 0.3718 0.1146  9 Ga 3.12-3.24, 3 Tc 3.23, 4 Tb 3.34-3.37

=====

Here is a geometry-optimized LaSm5Y structure from Alexandria. Energies are from PBE.

Properties
Space group   C2/c, No. 15
Energy above the lowest structure with this stoichiometry   8 meV/atom
E_form   0.175 eV per atom

Lattice parameters (Å, degrees): 6.8979 6.8979 13.9681 61.97 61.97 59.95
With the nearest neighbours (Å) after each atom.
Fractional coordinates of all 14 atoms:
Sm 0.3030 0.3473 0.9997  3 Sm 3.32-3.62, 2 Y 3.64-3.68
Sm 0.8312 0.6105 0.2528  1 Y 3.07, 1 Sm 3.32, 1 La 3.38
Sm 0.7153 0.2847 0.7500  1 Y 3.11, 4 Sm 3.36-3.48
Sm 0.2847 0.7153 0.2500  1 Y 3.11, 4 Sm 3.36-3.48
Sm 0.6527 0.6970 0.5003  3 Sm 3.32-3.62, 2 Y 3.64-3.68
Sm 0.6105 0.8312 0.7528  1 Y 3.07, 1 Sm 3.32, 1 La 3.38
Sm 0.1688 0.3895 0.7472  1 Y 3.07, 1 Sm 3.32, 1 La 3.38
Sm 0.6970 0.6527 0.0003  3 Sm 3.32-3.62, 2 Y 3.64-3.68
Sm 0.3473 0.3030 0.4997  3 Sm 3.32-3.62, 2 Y 3.64-3.68
Sm 0.3895 0.1688 0.2472  1 Y 3.07, 1 Sm 3.32, 1 La 3.38
Y 0.1663 0.8337 0.7500  3 Sm 3.07-3.11
Y 0.8337 0.1663 0.2500  3 Sm 3.07-3.11
La 0.0000 0.0000 0.5000  2 Sm 3.38, 2 Y 3.68
La 0.0000 0.0000 0.0000  2 Sm 3.38, 2 Y 3.68

=====

Here is a geometry-optimized BaSb2IO structure from Alexandria. Energies are from PBE.

Properties
Space group   P4/mmm, No. 123
Uncorrected energy   -4.0145 eV/atom

Lattice parameters (Å, degrees): 4.6950 4.6950 6.9673 90.00 90.00 90.00
With the nearest neighbours (Å) after each atom.
Fractional coordinates of all 5 atoms:
Sb 0.0000 0.5000 0.0000  2 O 2.35
Sb 0.5000 0.0000 0.0000  2 O 2.35
Ba 0.5000 0.5000 0.5000  4 I 3.32
I 0.0000 0.0000 0.5000  4 Ba 3.32, 2 O 3.48
O 0.0000 0.0000 0.0000  4 Sb 2.35

=====

Here is a geometry-optimized Be2CrW structure from Alexandria. Energies are from PBE.

Properties
Space group   Fm-3m, No. 225
Energy above the lowest structure with this stoichiometry   310 meV/atom
E_form   0.238 eV per atom

Lattice parameters (Å, degrees): 3.9914 3.9914 3.9914 60.00 60.00 60.00
With the nearest neighbours (Å) after each atom.
Fractional coordinates of all 4 atoms:
Be 0.2500 0.2500 0.2500  4 Cr 2.44, 4 W 2.44
Be 0.7500 0.7500 0.7500  4 W 2.44, 4 Cr 2.44
Cr 0.0000 0.0000 0.0000  8 Be 2.44
W 0.5000 0.5000 0.5000  8 Be 2.44

=====

The following total magnetic moment values (in μB per formula unit) correspond, in order, to the records above: 0.99, 0.00, 0.00, 0.00, 0.00, 0.00, 0.00, 0.00, 1.31.